Compound: Te2MoRh
Source: Alexandria via LeMat-Bulk
Functional: PBE
Structure: relaxed

Calculated values
**Excess energy over the best structure of this formula in the dataset**: 0.826 eV/atom
**D(E_F)**: 0.657 states/eV per atom
**Size of the total moment**: 0.000 μB per atom

Geometry as CIF:
```
data_Te2MoRh
_symmetry_space_group_name_H-M 'P 1'
_symmetry_Int_Tables_number 1
_cell_length_a 4.8270
_cell_length_b 4.8270
_cell_length_c 4.8270
_cell_angle_alpha 60.00
_cell_angle_beta 60.00
_cell_angle_gamma 60.00
loop_
_symmetry_equiv_pos_as_xyz
'x,y,z'
loop_
_atom_site_label
_atom_site_fract_x
_atom_site_fract_y
_atom_site_fract_z
Te1 0.2500 0.2500 0.2500
Te2 0.0000 0.0000 0.0000
Mo1 0.5000 0.5000 0.5000
Rh1 0.7500 0.7500 0.7500
```